First-principles (PBE with a Hubbard U) data for a relaxed structure of TaCrInO6, as listed in Alexandria.

```
data_TaCrInO6
_symmetry_space_group_name_H-M 'P 42 n m'
_symmetry_Int_Tables_number 102
_cell_length_a 4.744
_cell_length_b 4.744
_cell_length_c 9.397
_cell_angle_alpha 90.00
_cell_angle_beta 90.00
_cell_angle_gamma 90.00
loop_
_symmetry_equiv_pos_as_xyz
'x,y,z'
'-y+1/2,x+1/2,z+1/2'
'-x,-y,z'
'y+1/2,-x+1/2,z+1/2'
'-x+1/2,y+1/2,z+1/2'
'y,x,z'
'x+1/2,-y+1/2,z+1/2'
'-y,-x,z'
loop_
_atom_site_label
_atom_site_type_symbol
_atom_site_fract_x
_atom_site_fract_y
_atom_site_fract_z
Ta1 Ta 0.000 0.000 0.000
Cr1 Cr 0.000 0.000 0.333
In1 In 0.000 0.000 0.665
O1 O 0.182 0.182 0.167
O2 O 0.204 0.204 0.484
O3 O 0.213 0.213 0.846
```

Values from the calculation:
Calculated total energy in eV/atom: -7.791


First-principles (PBE with a Hubbard U) data for a relaxed structure of TbCr2InO8, as listed in Alexandria.

```
data_TbCr2InO8
_symmetry_space_group_name_H-M 'I -4 m 2'
_symmetry_Int_Tables_number 119
_symmetry_space_group_name_Hall 'I -4 -2'
_cell_length_a 7.138
_cell_length_b 7.138
_cell_length_c 6.281
_cell_angle_alpha 90.00
_cell_angle_beta 90.00
_cell_angle_gamma 90.00
loop_
_atom_site_label
_atom_site_type_symbol
_atom_site_fract_x
_atom_site_fract_y
_atom_site_fract_z
Tb1 Tb 0.000 0.000 0.000
Cr1 Cr 0.000 0.000 0.500
Cr2 Cr 0.000 0.500 0.750
In1 In 0.000 0.500 0.250
O1 O 0.000 0.187 0.324
O2 O 0.000 0.316 0.925
```

Values from the calculation:
Calculated total energy in eV/atom: -6.969
DOS at the Fermi energy in states/eV/f.u.: 0.4


Which of these has the lowest calculated total energy?
TaCrInO6


Among the records above, which one has the highest calculated total energy?
TbCr2InO8